No. 1
This record from the Alexandria database describes an optimized crystal structure of In3Sn2Pb. The functional is PBE-GGA.

```
data_In3Sn2Pb
_chemical_formula_sum 'In6 Sn4 Pb2'
_cell_length_a 4.638
_cell_length_b 14.908
_cell_length_c 4.896
_cell_angle_alpha 90.00
_cell_angle_beta 90.00
_cell_angle_gamma 90.00
_symmetry_space_group_name_H-M 'C m m m'
_symmetry_Int_Tables_number 65
_symmetry_space_group_name_Hall '-C 2 2'
loop_
_atom_site_label
_atom_site_fract_x
_atom_site_fract_y
_atom_site_fract_z
In1 0.000 0.000 0.000
In2 0.000 0.332 0.000
Sn1 0.000 0.170 0.500
Pb1 0.000 0.500 0.500
```

Values from the calculation:
Excess energy over the best structure of this formula in the dataset (meV per atom): 0
V (Å³ per atom): 28.213
Energy of formation from the pure elements (eV/atom): 0.03

***

No. 2
This record from the Alexandria database describes an optimized crystal structure of In5SnPb8. The functional is PBE-GGA.

```
data_In5SnPb8
_chemical_formula_sum 'In10 Sn2 Pb16'
_cell_length_a 9.508
_cell_length_b 9.508
_cell_length_c 9.617
_cell_angle_alpha 90.00
_cell_angle_beta 90.00
_cell_angle_gamma 90.00
_symmetry_space_group_name_H-M 'I -4'
_symmetry_Int_Tables_number 82
_symmetry_space_group_name_Hall 'I -4'
loop_
_atom_site_label
_atom_site_fract_x
_atom_site_fract_y
_atom_site_fract_z
In1 0.000 0.000 0.000
In2 0.125 0.245 0.377
Sn1 0.000 0.500 0.750
Pb1 0.083 0.335 0.045
Pb2 0.085 0.169 0.714
```

Values from the calculation:
V (Å³ per atom): 31.050
Energy of formation from the pure elements (eV/atom): 0.09

***

No. 3
This record from the Alexandria database describes an optimized crystal structure of InSnPb. The functional is PBE-GGA.

```
data_InSnPb
_chemical_formula_sum 'In2 Sn2 Pb2'
_cell_length_a 3.486
_cell_length_b 3.486
_cell_length_c 14.259
_cell_angle_alpha 90.00
_cell_angle_beta 90.00
_cell_angle_gamma 90.00
_symmetry_space_group_name_H-M 'P 4/n m m'
_symmetry_Int_Tables_number 129
loop_
_symmetry_equiv_pos_as_xyz
'x,y,z'
'-x,-y,-z'
'-y+1/2,x,z'
'y+1/2,-x,-z'
'-x+1/2,-y+1/2,z'
'x+1/2,y+1/2,-z'
'y,-x+1/2,z'
'-y,x+1/2,-z'
'x+1/2,-y,-z'
'-x+1/2,y,z'
'-y,-x,-z'
'y,x,z'
'-x,y+1/2,-z'
'x,-y+1/2,z'
'y+1/2,x+1/2,-z'
'-y+1/2,-x+1/2,z'
loop_
_atom_site_label
_atom_site_fract_x
_atom_site_fract_y
_atom_site_fract_z
In1 0.250 0.250 0.082
Sn1 0.250 0.250 0.762
Pb1 0.250 0.250 0.409
```

Values from the calculation:
Excess energy over the best structure of this formula in the dataset (meV per atom): 2
V (Å³ per atom): 28.874
Energy of formation from the pure elements (eV/atom): 0.02